Record 1
Material: Ce2YPa
Method: DFT, PBE-GGA
State: optimized geometry

Cell: 3.3517 3.3517 9.9735 Å, 90.00 90.00 90.00°
Space group P4/mmm (No. 123)
Asymmetric unit:
Ce  0.0000  0.0000  0.2311 (multiplicity 2)
Y  0.5000  0.5000  0.5000 (multiplicity 1)
Pa  0.5000  0.5000  0.0000 (multiplicity 1)

Output
The value obtained for the raw total energy is -0.25244 Ha/atom. As for the formation energy: 0.088 eV/atom. The total magnetization comes out at 0.00 μB per formula unit. As for the energy above the most stable polymorph in this dataset: 0.0 kJ per mole of atoms.

Record 2
Material: YAuN2
Method: DFT, PBE-GGA
State: optimized geometry

Cell: 5.9502 5.9502 5.9502 Å, 90.00 90.00 90.00°
Space group Fm-3m (No. 225)
Asymmetric unit:
Y  0.0000  0.0000  0.0000 (multiplicity 4)
Au  0.0000  0.0000  0.5000 (multiplicity 4)
N  0.2500  0.2500  0.2500 (multiplicity 8)

Output
The value obtained for the raw total energy is -0.22738 Ha/atom. The total magnetization comes out at 0.00 μB per formula unit. The formation energy (no corrections) comes out at 410.8 meV/atom. As for the energy above the most stable polymorph in this dataset: 49.5 kJ per mole of atoms.

Record 3
Material: Cs4YU3O12
Method: DFT, PBE-GGA
State: optimized geometry

Cell: 8.8343 8.8343 8.8343 Å, 90.00 90.00 90.00°
Space group Im-3m (No. 229)
Asymmetric unit:
Cs  0.2500  0.2500  0.2500 (multiplicity 8)
Y  0.0000  0.0000  0.0000 (multiplicity 2)
U  0.0000  0.0000  0.5000 (multiplicity 6)
O  0.0000  0.0000  0.2685 (multiplicity 12)
O  0.0000  0.2500  0.5000 (multiplicity 12)

Output
The value obtained for the raw total energy is -0.29316 Ha/atom. The total magnetization comes out at 1.00 μB per formula unit. The formation energy (no corrections) comes out at -2815.2 meV/atom.

Record 4
Material: PuGe2Ru
Method: DFT, PBE-GGA
State: optimized geometry

Cell: 4.2223 4.2223 14.6550 Å, 90.00 90.00 120.00°
Space group R-3m (No. 166, hexagonal axes)
Asymmetric unit:
Pu  0.0000  0.0000  0.0000 (multiplicity 3)
Ge  0.0000  0.0000  0.2212 (multiplicity 6)
Ru  0.0000  0.0000  0.5000 (multiplicity 3)

Output
The value obtained for the raw total energy is -0.31589 Ha/atom. As for the formation energy: -0.385 eV/atom. The total magnetization comes out at 4.92 μB per formula unit. As for the energy above the most stable polymorph in this dataset: 0.0 kJ per mole of atoms.

Record 5
Material: YRhW2
Method: DFT, PBE-GGA
State: optimized geometry

Cell: 3.3345 3.3345 6.9303 Å, 90.00 90.00 90.00°
Space group P4/mmm (No. 123)
Asymmetric unit:
Y  0.0000  0.0000  0.0000 (multiplicity 1)
Rh  0.0000  0.0000  0.5000 (multiplicity 1)
W  0.5000  0.5000  0.3177 (multiplicity 2)

Output
The value obtained for the raw total energy is -0.34768 Ha/atom. As for the formation energy: 0.470 eV/atom. The total magnetization comes out at 0.00 μB per formula unit. As for the energy above the most stable polymorph in this dataset: 40.5 kJ per mole of atoms.

Record 6
Material: Sm3Dy4ScS8
Method: DFT, PBE-GGA
State: optimized geometry

Cell: 7.8490 7.8490 19.2277 Å, 90.00 90.00 120.00°
Space group R-3m (No. 166, hexagonal axes)
Asymmetric unit:
Sm  0.0000  0.5000  0.0000 (multiplicity 9)
Dy  0.0000  0.0000  0.5000 (multiplicity 3)
Dy  0.0000  0.5000  0.5000 (multiplicity 9)
Sc  0.0000  0.0000  0.0000 (multiplicity 3)
S  0.0000  0.0000  0.2466 (multiplicity 6)
S  0.0112  0.5056  0.7505 (multiplicity 18)

Output
The value obtained for the raw total energy is -0.23757 Ha/atom. The total magnetization comes out at 0.00 μB per formula unit. The formation energy (no corrections) comes out at -1969.7 meV/atom.

Record 7
Material: BaCdAgHg3
Method: DFT, PBE-GGA
State: optimized geometry

Cell: 7.0282 13.9048 7.1721 Å, 90.00 90.00 90.00°
Space group Cmcm (No. 63)
Asymmetric unit:
Ba  0.0000  0.2104  0.2500 (multiplicity 4)
Cd  0.0000  0.1369  0.7500 (multiplicity 4)
Ag  0.0000  0.4423  0.2500 (multiplicity 4)
Hg  0.0000  0.3466  0.7500 (multiplicity 4)
Hg  0.2137  0.0000  0.0000 (multiplicity 8)

Output
The value obtained for the raw total energy is -0.04529 Ha/atom. As for the formation energy: -0.133 eV/atom. The total magnetization comes out at 0.00 μB per formula unit.

Record 8
Material: La6As2Se3Br
Method: DFT, PBE-GGA
State: optimized geometry

Cell: 18.8937 4.3379 8.6970 Å, 90.00 103.03 90.00°
Space group C2/m (No. 12)
Asymmetric unit:
La  0.0025  0.0000  0.2661 (multiplicity 4)
La  0.1691  0.5000  0.5795 (multiplicity 4)
La  0.1729  0.5000  0.0921 (multiplicity 4)
As  0.1656  0.0000  0.3307 (multiplicity 4)
Se  0.0000  0.5000  0.5000 (multiplicity 2)
Se  0.1639  0.0000  0.8337 (multiplicity 4)
Br  0.0000  0.5000  0.0000 (multiplicity 2)

Output
The value obtained for the raw total energy is -0.22175 Ha/atom. The total magnetization comes out at 0.00 μB per formula unit. The formation energy (no corrections) comes out at -1785.1 meV/atom.